1.
Entry from Alexandria: LiMnCoP after structural relaxation (PBE-GGA).

```
data_LiMnCoP
_chemical_formula_sum 'Li4 Mn4 Co4 P4'
_cell_length_a 5.4539
_cell_length_b 5.4539
_cell_length_c 5.4539
_cell_angle_alpha 90.00
_cell_angle_beta 90.00
_cell_angle_gamma 90.00
_space_group_name_H-M_alt 'F -4 3 m'
_space_group_IT_number 216
_space_group_name_Hall 'F -4 2 3'
loop_
_atom_site_label
_atom_site_type_symbol
_atom_site_fract_x
_atom_site_fract_y
_atom_site_fract_z
_atom_site_occupancy
Li1 Li 0.0000 0.0000 0.0000 1
Mn1 Mn 0.2500 0.2500 0.2500 1
Co1 Co 0.2500 0.2500 0.7500 1
P1 P 0.0000 0.0000 0.5000 1
```

## Properties
- total magnetic moment (μB/f.u.) = 1.6
- calculated formation energy (eV per atom) = -0.30
- DOS at the Fermi energy (states/eV/f.u.) = 4.9
- uncorrected energy (hartree per atom) = -0.2279

***

2.
Entry from Alexandria: LiMnCoP2 after structural relaxation (PBE-GGA).

```
data_LiMnCoP2
_chemical_formula_sum 'Li2 Mn2 Co2 P4'
_cell_length_a 3.7621
_cell_length_b 3.7621
_cell_length_c 9.1410
_cell_angle_alpha 90.00
_cell_angle_beta 90.00
_cell_angle_gamma 90.00
_space_group_name_H-M_alt 'I -4 m 2'
_space_group_IT_number 119
_space_group_name_Hall 'I -4 -2'
loop_
_atom_site_label
_atom_site_type_symbol
_atom_site_fract_x
_atom_site_fract_y
_atom_site_fract_z
_atom_site_occupancy
Li1 Li 0.0000 0.0000 0.0000 1
Mn1 Mn 0.0000 0.5000 0.7500 1
Co1 Co 0.0000 0.5000 0.2500 1
P1 P 0.0000 0.0000 0.3754 1
```

## Properties
- total magnetic moment (μB/f.u.) = 0.5
- calculated formation energy (eV per atom) = -0.62
- DOS at the Fermi energy (states/eV/f.u.) = 2.9
- uncorrected energy (hartree per atom) = -0.2358

***

3.
Entry from Alexandria: LiMnCoPb2 after structural relaxation (PBE-GGA).

```
data_LiMnCoPb2
_chemical_formula_sum 'Li1 Mn1 Co1 Pb2'
_cell_length_a 5.0956
_cell_length_b 5.0956
_cell_length_c 4.6830
_cell_angle_alpha 90.00
_cell_angle_beta 90.00
_cell_angle_gamma 90.00
_space_group_name_H-M_alt 'P 4/m m m'
_space_group_IT_number 123
_space_group_name_Hall '-P 4 2'
loop_
_atom_site_label
_atom_site_type_symbol
_atom_site_fract_x
_atom_site_fract_y
_atom_site_fract_z
_atom_site_occupancy
Li1 Li 0.0000 0.0000 0.0000 1
Mn1 Mn 0.0000 0.0000 0.5000 1
Co1 Co 0.5000 0.5000 0.0000 1
Pb1 Pb 0.0000 0.5000 0.5000 1
```

## Properties
- total magnetic moment (μB/f.u.) = 4.6
- calculated formation energy (eV per atom) = 0.93
- DOS at the Fermi energy (states/eV/f.u.) = 9.9
- uncorrected energy (hartree per atom) = -0.1539

***

4.
Entry from Alexandria: LiMnCoPd2 after structural relaxation (PBE-GGA).

```
data_LiMnCoPd2
_chemical_formula_sum 'Li1 Mn1 Co1 Pd2'
_cell_length_a 4.1146
_cell_length_b 4.1146
_cell_length_c 3.9579
_cell_angle_alpha 90.00
_cell_angle_beta 90.00
_cell_angle_gamma 90.00
_space_group_name_H-M_alt 'P 4/m m m'
_space_group_IT_number 123
_space_group_name_Hall '-P 4 2'
loop_
_atom_site_label
_atom_site_type_symbol
_atom_site_fract_x
_atom_site_fract_y
_atom_site_fract_z
_atom_site_occupancy
Li1 Li 0.0000 0.0000 0.0000 1
Mn1 Mn 0.5000 0.5000 0.5000 1
Co1 Co 0.0000 0.0000 0.5000 1
Pd1 Pd 0.0000 0.5000 0.0000 1
```

## Properties
- total magnetic moment (μB/f.u.) = 0.4
- calculated formation energy (eV per atom) = 0.94
- DOS at the Fermi energy (states/eV/f.u.) = 9.9
- uncorrected energy (hartree per atom) = -0.1756

***

5.
Entry from Alexandria: LiMn2CoPt after structural relaxation (PBE-GGA).

```
data_LiMn2CoPt
_chemical_formula_sum 'Li1 Mn2 Co1 Pt1'
_cell_length_a 4.2150
_cell_length_b 4.2150
_cell_length_c 4.0471
_cell_angle_alpha 90.00
_cell_angle_beta 90.00
_cell_angle_gamma 90.00
_space_group_name_H-M_alt 'P 4/m m m'
_space_group_IT_number 123
_space_group_name_Hall '-P 4 2'
loop_
_atom_site_label
_atom_site_type_symbol
_atom_site_fract_x
_atom_site_fract_y
_atom_site_fract_z
_atom_site_occupancy
Li1 Li 0.0000 0.0000 0.0000 1
Mn1 Mn 0.0000 0.5000 0.0000 1
Co1 Co 0.5000 0.5000 0.5000 1
Pt1 Pt 0.0000 0.0000 0.5000 1
```

## Properties
- total magnetic moment (μB/f.u.) = 9.5
- calculated formation energy (eV per atom) = 0.83
- DOS at the Fermi energy (states/eV/f.u.) = 6.5
- uncorrected energy (hartree per atom) = -0.2151

***

6.
Entry from Alexandria: Li2MnCoPt after structural relaxation (PBE-GGA).

```
data_Li2MnCoPt
_chemical_formula_sum 'Li2 Mn1 Co1 Pt1'
_cell_length_a 4.4638
_cell_length_b 4.4638
_cell_length_c 4.7261
_cell_angle_alpha 90.00
_cell_angle_beta 90.00
_cell_angle_gamma 90.00
_space_group_name_H-M_alt 'P 4/m m m'
_space_group_IT_number 123
_space_group_name_Hall '-P 4 2'
loop_
_atom_site_label
_atom_site_type_symbol
_atom_site_fract_x
_atom_site_fract_y
_atom_site_fract_z
_atom_site_occupancy
Li1 Li 0.0000 0.5000 0.0000 1
Mn1 Mn 0.0000 0.0000 0.5000 1
Co1 Co 0.5000 0.5000 0.5000 1
Pt1 Pt 0.5000 0.5000 0.0000 1
```

## Properties
- total magnetic moment (μB/f.u.) = 6.4
- calculated formation energy (eV per atom) = 0.55
- DOS at the Fermi energy (states/eV/f.u.) = 3.0
- uncorrected energy (hartree per atom) = -0.1720

***

7.
Entry from Alexandria: LiMnCoSb after structural relaxation (PBE-GGA).

```
data_LiMnCoSb
_chemical_formula_sum 'Li4 Mn4 Co4 Sb4'
_cell_length_a 6.0593
_cell_length_b 6.0593
_cell_length_c 6.0593
_cell_angle_alpha 90.00
_cell_angle_beta 90.00
_cell_angle_gamma 90.00
_space_group_name_H-M_alt 'F -4 3 m'
_space_group_IT_number 216
_space_group_name_Hall 'F -4 2 3'
loop_
_atom_site_label
_atom_site_type_symbol
_atom_site_fract_x
_atom_site_fract_y
_atom_site_fract_z
_atom_site_occupancy
Li1 Li 0.0000 0.0000 0.0000 1
Mn1 Mn 0.2500 0.2500 0.2500 1
Co1 Co 0.0000 0.0000 0.5000 1
Sb1 Sb 0.2500 0.2500 0.7500 1
```

## Properties
- total magnetic moment (μB/f.u.) = 4.0
- formation energy without anion corrections (eV per atom) = -0.1664
- DOS at the Fermi energy (states/eV/f.u.) = 1.3
- uncorrected energy (hartree per atom) = -0.2111

***

8.
Entry from Alexandria: LiSmMnCo after structural relaxation (PBE-GGA).

```
data_LiSmMnCo
_chemical_formula_sum 'Li4 Sm4 Mn4 Co4'
_cell_length_a 6.4800
_cell_length_b 6.4800
_cell_length_c 6.4800
_cell_angle_alpha 90.00
_cell_angle_beta 90.00
_cell_angle_gamma 90.00
_space_group_name_H-M_alt 'F -4 3 m'
_space_group_IT_number 216
_space_group_name_Hall 'F -4 2 3'
loop_
_atom_site_label
_atom_site_type_symbol
_atom_site_fract_x
_atom_site_fract_y
_atom_site_fract_z
_atom_site_occupancy
Li1 Li 0.0000 0.0000 0.0000 1
Sm1 Sm 0.2500 0.2500 0.2500 1
Mn1 Mn 0.2500 0.2500 0.7500 1
Co1 Co 0.0000 0.0000 0.5000 1
```

## Properties
- total magnetic moment (μB/f.u.) = 4.1
- calculated formation energy (eV per atom) = 0.16
- DOS at the Fermi energy (states/eV/f.u.) = 3.5
- uncorrected energy (hartree per atom) = -0.2046

***

9.
Entry from Alexandria: LiTmMnCo after structural relaxation (PBE-GGA).

```
data_LiTmMnCo
_chemical_formula_sum 'Li4 Tm4 Mn4 Co4'
_cell_length_a 6.3140
_cell_length_b 6.3140
_cell_length_c 6.3140
_cell_angle_alpha 90.00
_cell_angle_beta 90.00
_cell_angle_gamma 90.00
_space_group_name_H-M_alt 'F -4 3 m'
_space_group_IT_number 216
_space_group_name_Hall 'F -4 2 3'
loop_
_atom_site_label
_atom_site_type_symbol
_atom_site_fract_x
_atom_site_fract_y
_atom_site_fract_z
_atom_site_occupancy
Li1 Li 0.0000 0.0000 0.0000 1
Tm1 Tm 0.2500 0.2500 0.2500 1
Mn1 Mn 0.2500 0.2500 0.7500 1
Co1 Co 0.0000 0.0000 0.5000 1
```

## Properties
- total magnetic moment (μB/f.u.) = 3.9
- calculated formation energy (eV per atom) = 0.06
- DOS at the Fermi energy (states/eV/f.u.) = 2.4
- uncorrected energy (hartree per atom) = -0.2059

***

10.
Entry from Alexandria: Li2CoMo after structural relaxation (PBE-GGA).

```
data_Li2CoMo
_chemical_formula_sum 'Li8 Co4 Mo4'
_cell_length_a 6.7899
_cell_length_b 6.7899
_cell_length_c 4.6913
_cell_angle_alpha 90.00
_cell_angle_beta 90.00
_cell_angle_gamma 90.00
_space_group_name_H-M_alt 'I -4 2 d'
_space_group_IT_number 122
_space_group_name_Hall 'I -4 2bw'
loop_
_atom_site_label
_atom_site_type_symbol
_atom_site_fract_x
_atom_site_fract_y
_atom_site_fract_z
_atom_site_occupancy
Li1 Li 0.2230 0.7500 0.1250 1
Co1 Co 0.0000 0.0000 0.0000 1
Mo1 Mo 0.0000 0.0000 0.5000 1
```

## Properties
- total magnetic moment (μB/f.u.) = 1.6
- calculated formation energy (eV per atom) = 0.82
- DOS at the Fermi energy (states/eV/f.u.) = 4.3
- uncorrected energy (hartree per atom) = -0.1697